Entry 1:
CdMo3 | GGA-PBE | optimized geometry

Computed properties:
* energy of formation from the pure elements: 1.531 eV/f.u.
* excess energy over the best structure of this formula in the dataset: 163.9 meV/atom
* calculated volume: 67.5 Å³/cell
* D(E_F): 2.5 states/eV/f.u.
* total moment: 0.000 μB per formula unit
* uncorrected energy: -31.9 eV/cell

```
CdMo3
1.0
4.5464 0.0000 0.0000
0.0000 3.2829 0.0000
2.2732 1.6414 4.5241
Mo Cd
3 1
Direct
0.7302 0.2302 0.5397
0.5000 0.5000 0.0000
0.2698 0.7698 0.4603
0.0000 0.0000 0.0000
```



Entry 2:
SiAgCl | GGA-PBE | optimized geometry

Computed properties:
* excess energy over the best structure of this formula in the dataset: 653.2 meV/atom
* calculated volume: 68.6 Å³/cell
* D(E_F): 1.0 states/eV/f.u.
* total moment: 0.000 μB per formula unit
* uncorrected energy: -8.5 eV/cell

```
SiAgCl
1.0
-2.2818 0.0639 3.9869
-0.6976 -3.9092 2.3103
2.2356 -0.7707 3.9387
Ag Cl Si
1 1 1
Direct
0.7500 0.7500 0.7500
0.0000 0.0000 0.0000
0.5000 0.5000 0.5000
```



Entry 3:
Li2SnPd2 | GGA-PBE | optimized geometry

Computed properties:
* energy of formation from the pure elements: -2.187 eV/f.u.
* excess energy over the best structure of this formula in the dataset: 116.6 meV/atom
* calculated volume: 150.3 Å³/cell
* D(E_F): 1.1 states/eV/f.u.
* total moment: 0.000 μB per formula unit
* uncorrected energy: -40.8 eV/cell

```
Li2SnPd2
1.0
-1.7671 -6.5998 1.5248
5.4059 -0.4245 4.4273
-1.7888 1.0058 2.2806
Pd Li Sn
4 4 2
Direct
0.6822 0.8178 0.5000
0.3178 0.1822 0.5000
0.1822 0.6822 0.5000
0.8178 0.3178 0.5000
0.8818 0.6182 0.0000
0.3818 0.8818 0.0000
0.6182 0.1182 0.0000
0.1182 0.3818 0.0000
0.0000 0.0000 0.0000
0.5000 0.5000 0.0000
```



Entry 4:
Tm8Ni2Au | GGA-PBE | optimized geometry

Computed properties:
* energy of formation from the pure elements: -3.599 eV/f.u.
* excess energy over the best structure of this formula in the dataset: 0.0 meV/atom
* calculated volume: 270.5 Å³/cell
* D(E_F): 12.8 states/eV/f.u.
* total moment: 0.000 μB per formula unit
* uncorrected energy: -54.2 eV/cell

```
Tm8Ni2Au
1.0
-2.7746 1.1302 3.9287
-4.4225 -4.5962 -1.8011
7.0110 -4.5641 3.1578
Tm Ni Au
8 2 1
Direct
0.6749 0.9835 0.3497
0.7974 0.6652 0.5948
0.9630 0.2210 0.9259
0.2026 0.3348 0.4052
0.4063 0.5346 0.8125
0.3251 0.0165 0.6503
0.5937 0.4654 0.1875
0.0370 0.7790 0.0741
0.8150 0.2766 0.6301
0.1850 0.7234 0.3699
0.5000 0.0000 0.0000
```



Entry 5:
K2YCd | GGA-PBE | optimized geometry

Computed properties:
* energy of formation from the pure elements: 0.716 eV/f.u.
* calculated volume: 174.0 Å³/cell
* D(E_F): 4.9 states/eV/f.u.
* total moment: 0.003 μB per formula unit
* uncorrected energy: -8.9 eV/cell

```
K2YCd
1.0
12.8650 -0.0308 -0.0181
12.2577 3.9062 -0.0181
12.2577 1.8909 3.4181
Cd Y K
1 1 2
Direct
0.7584 0.7584 0.7584
0.4818 0.4818 0.4818
0.2418 0.2418 0.2418
0.0180 0.0180 0.0180
```



Entry 6:
TiAl2Pt2 | GGA-PBE | optimized geometry

Computed properties:
* energy of formation from the pure elements: -4.073 eV/f.u.
* excess energy over the best structure of this formula in the dataset: 101.3 meV/atom
* calculated volume: 156.6 Å³/cell
* D(E_F): 2.9 states/eV/f.u.
* total moment: 0.000 μB per formula unit
* uncorrected energy: -63.1 eV/cell

```
TiAl2Pt2
1.0
7.4759 0.0000 0.0000
0.0000 7.4759 0.0000
0.0000 0.0000 2.8027
Pt Al Ti
4 4 2
Direct
0.8602 0.6398 0.0000
0.3602 0.8602 0.0000
0.6398 0.1398 0.0000
0.1398 0.3602 0.0000
0.1576 0.6576 0.5000
0.6576 0.8424 0.5000
0.3424 0.1576 0.5000
0.8424 0.3424 0.5000
0.0000 0.0000 0.0000
0.5000 0.5000 0.0000
```



Entry 7:
BeCrPb | GGA-PBE | optimized geometry

Computed properties:
* energy of formation from the pure elements: 2.426 eV/f.u.
* excess energy over the best structure of this formula in the dataset: 255.6 meV/atom
* calculated volume: 56.9 Å³/cell
* D(E_F): 1.2 states/eV/f.u.
* total moment: 3.983 μB per formula unit
* uncorrected energy: -14.6 eV/cell

```
BeCrPb
1.0
3.3275 0.0000 0.0000
-1.6638 2.8817 0.0000
0.0000 0.0000 5.9319
Cr Be Pb
1 1 1
Direct
0.6667 0.3333 0.2839
0.0000 0.0000 0.0220
0.3333 0.6667 0.6942
```



Entry 8:
Pm3Np4S8 | GGA-PBE | optimized geometry

Computed properties:
* calculated volume: 353.4 Å³/cell
* D(E_F): 38.3 states/eV/f.u.
* total moment: 8.878 μB per formula unit
* uncorrected energy: -123.6 eV/cell

```
Pm3Np4S8
1.0
6.9605 -0.1529 -3.8176
-4.4882 6.5367 -0.2028
-0.1690 0.1268 7.9290
Np S Pm
4 8 3
Direct
0.5000 0.0000 0.0000
0.0000 0.0000 0.5000
0.0000 0.5000 0.0000
0.0000 0.0000 0.0000
0.0000 0.7524 0.2476
0.0000 0.2476 0.7524
0.9959 0.2457 0.2457
0.5000 0.7527 0.2473
0.4988 0.2458 0.2458
0.0041 0.7543 0.7543
0.5012 0.7542 0.7542
0.5000 0.2473 0.7527
0.5000 0.5000 0.5000
0.5000 0.0000 0.5000
0.5000 0.5000 0.0000
```



Entry 9:
Tb9SmY2 | GGA-PBE | optimized geometry

Computed properties:
* energy of formation from the pure elements: 0.561 eV/f.u.
* excess energy over the best structure of this formula in the dataset: 26.5 meV/atom
* calculated volume: 387.5 Å³/cell
* D(E_F): 16.2 states/eV/f.u.
* total moment: 0.000 μB per formula unit
* uncorrected energy: -58.8 eV/cell

```
Tb9SmY2
1.0
3.5067 0.0000 0.0000
0.0000 11.2964 0.0000
0.0000 -5.6482 9.7829
Y Tb Sm
2 9 1
Direct
0.0000 0.3333 0.6667
0.0000 0.6667 0.3333
0.5000 0.1762 0.8238
0.0000 0.5000 0.5000
0.5000 0.3525 0.1762
0.5000 0.8238 0.6475
0.0000 0.5000 0.0000
0.5000 0.6475 0.8238
0.0000 0.0000 0.5000
0.5000 0.8238 0.1762
0.5000 0.1762 0.3525
0.0000 0.0000 0.0000
```



Entry 10:
Ho3InAg3Se8 | GGA-PBE | optimized geometry

Computed properties:
* calculated volume: 379.4 Å³/cell
* D(E_F): 7.7 states/eV/f.u.
* total moment: 0.000 μB per formula unit
* uncorrected energy: -67.5 eV/cell

```
Ho3InAg3Se8
1.0
8.2027 0.0000 0.0000
-4.1014 7.1003 -0.0372
0.0000 -4.7247 6.5382
Se Ag Ho In
8 3 3 1
Direct
0.2423 0.9981 0.2553
0.2440 0.4880 0.7445
0.7577 0.0019 0.7447
0.2523 0.5047 0.2583
0.2442 0.0019 0.7447
0.7477 0.4953 0.7417
0.7560 0.5120 0.2555
0.7558 0.9981 0.2553
0.0000 0.5000 0.0000
0.0000 0.0000 0.0000
0.5000 0.5000 0.0000
0.0000 0.5000 0.5000
0.5000 0.0000 0.5000
0.5000 0.5000 0.5000
0.0000 0.0000 0.5000
```



Entry 11:
LaTcN2 | GGA-PBE | optimized geometry

Computed properties:
* excess energy over the best structure of this formula in the dataset: 624.7 meV/atom
* calculated volume: 75.4 Å³/cell
* D(E_F): 2.5 states/eV/f.u.
* total moment: 0.005 μB per formula unit
* uncorrected energy: -33.0 eV/cell

```
LaTcN2
1.0
2.1929 0.0000 6.0352
-1.0964 1.8991 6.0352
-1.0964 -1.8991 6.0352
Tc La N
1 1 2
Direct
0.0000 0.0000 0.0000
0.5000 0.5000 0.5000
0.8987 0.8987 0.8987
0.1013 0.1013 0.1013
```



Entry 12:
CaTa2Mo | GGA-PBE | optimized geometry

Computed properties:
* energy of formation from the pure elements: 1.758 eV/f.u.
* calculated volume: 85.5 Å³/cell
* D(E_F): 5.5 states/eV/f.u.
* total moment: 0.000 μB per formula unit
* uncorrected energy: -34.8 eV/cell

```
CaTa2Mo
1.0
-1.8021 -2.7300 -0.7114
2.7807 -1.8614 0.0991
-1.0861 -1.2257 7.4550
Ta Ca Mo
2 1 1
Direct
0.5000 0.5000 0.1853
0.0000 0.0000 0.9863
0.0000 0.0000 0.5171
0.5000 0.5000 0.8113
```



Entry 13:
Al2H2S3 | GGA-PBE | optimized geometry

Computed properties:
* calculated volume: 141.2 Å³/cell
* D(E_F): 0.2 states/eV/f.u.
* total moment: 0.000 μB per formula unit
* uncorrected energy: -28.4 eV/cell

```
Al2H2S3
1.0
3.9066 -0.1033 -1.2681
-0.6051 5.5430 2.1871
-2.5377 1.4699 7.8699
Al H S
2 2 3
Direct
0.5929 0.2093 0.0426
0.4071 0.7907 0.9574
0.9164 0.6139 0.6297
0.0836 0.3861 0.3703
0.0000 0.0000 0.0000
0.3104 0.6488 0.7095
0.6896 0.3512 0.2905
```



Entry 14:
Pr2HgRuC | GGA-PBE | optimized geometry

Computed properties:
* energy of formation from the pure elements: -1.623 eV/f.u.
* calculated volume: 111.8 Å³/cell
* D(E_F): 2.4 states/eV/f.u.
* total moment: 0.000 μB per formula unit
* uncorrected energy: -30.0 eV/cell

```
Pr2HgRuC
1.0
3.9398 0.0000 0.0000
0.0000 5.3259 0.0000
0.0000 0.0000 5.3259
Pr C Hg Ru
2 1 1 1
Direct
0.0000 0.0000 0.5000
0.0000 0.5000 0.0000
0.0000 0.0000 0.0000
0.5000 0.5000 0.5000
0.5000 0.0000 0.0000
```



Entry 15:
AsRhSe3 | GGA-PBE | optimized geometry

Computed properties:
* excess energy over the best structure of this formula in the dataset: 414.1 meV/atom
* calculated volume: 122.6 Å³/cell
* D(E_F): 6.8 states/eV/f.u.
* total moment: 2.446 μB per formula unit
* uncorrected energy: -17.8 eV/cell

```
AsRhSe3
1.0
4.9679 0.0000 0.0000
0.0000 4.9679 0.0000
0.0000 0.0000 4.9679
Rh Se As
1 3 1
Direct
0.5000 0.5000 0.5000
0.0000 0.5000 0.0000
0.5000 0.0000 0.0000
0.0000 0.0000 0.5000
0.0000 0.0000 0.0000
```



Entry 16:
TbTm8Sb6 | GGA-PBE | optimized geometry

Computed properties:
* calculated volume: 459.1 Å³/cell
* D(E_F): 8.6 states/eV/f.u.
* total moment: 0.000 μB per formula unit
* uncorrected energy: -75.8 eV/cell

```
TbTm8Sb6
1.0
-6.0748 2.5316 -3.4126
-6.5950 -3.0827 1.4007
-5.6367 6.1021 6.5085
Sb Tm Tb
6 8 1
Direct
0.3991 0.0615 0.8137
0.7257 0.3991 0.8137
0.0615 0.7257 0.8137
0.6009 0.9385 0.1863
0.2743 0.6009 0.1863
0.9385 0.2743 0.1863
0.4498 0.7897 0.6391
0.3334 0.3334 0.9997
0.6666 0.6666 0.0003
0.8786 0.5502 0.3609
0.7897 0.1214 0.6391
0.2103 0.8786 0.3609
0.1214 0.4498 0.6391
0.5502 0.2103 0.3609
0.0000 0.0000 0.0000
```



Entry 17:
Th4B2Cl5 | GGA-PBE | optimized geometry

Computed properties:
* calculated volume: 270.2 Å³/cell
* D(E_F): 6.5 states/eV/f.u.
* total moment: 0.084 μB per formula unit
* uncorrected energy: -66.7 eV/cell

```
Th4B2Cl5
1.0
-0.1327 -2.6509 -2.5811
7.9156 1.4858 -1.9330
-1.3169 -5.3624 8.2304
Th Cl B
4 5 2
Direct
0.3182 0.3182 0.6365
0.0000 0.7074 0.0000
0.0000 0.2926 0.0000
0.6818 0.6818 0.3635
0.8332 0.6103 0.6664
0.8332 0.0562 0.6664
0.1668 0.9438 0.3336
0.5000 0.0000 0.0000
0.1668 0.3897 0.3336
0.5466 0.5466 0.0932
0.4534 0.4534 0.9068
```



Entry 18:
K3Na3CoBr8 | GGA-PBE | optimized geometry

Computed properties:
* calculated volume: 492.5 Å³/cell
* D(E_F): 0.3 states/eV/f.u.
* total moment: 3.000 μB per formula unit
* uncorrected energy: -48.0 eV/cell

```
K3Na3CoBr8
1.0
8.7024 0.0000 0.0000
-4.3512 7.5404 -0.0277
0.0000 -5.0025 7.5243
Br Co K Na
8 1 3 3
Direct
0.2126 0.4251 0.6971
0.2126 0.9846 0.6970
0.2280 0.0154 0.3030
0.2593 0.5186 0.2782
0.7407 0.4814 0.7218
0.7720 0.9846 0.6970
0.7874 0.5749 0.3029
0.7874 0.0154 0.3030
0.0000 0.0000 0.5000
0.0000 0.0000 0.0000
0.5000 0.5000 0.0000
0.0000 0.5000 0.0000
0.5000 0.5000 0.5000
0.5000 0.0000 0.5000
0.0000 0.5000 0.5000
```



Entry 19:
Cu3N | GGA-PBE | optimized geometry

Computed properties:
* calculated volume: 44.6 Å³/cell
* D(E_F): 2.4 states/eV/f.u.
* total moment: 0.000 μB per formula unit
* uncorrected energy: -18.7 eV/cell

```
Cu3N
1.0
5.8680 0.0024 0.0000
4.4885 3.7799 0.0000
-5.1782 -1.8911 2.0108
Cu N
3 1
Direct
0.6785 0.6785 0.0000
0.0000 0.0000 0.0000
0.3215 0.3215 0.0000
0.5000 0.5000 0.0000
```



Entry 20:
La3ErPu2Se6 | GGA-PBE | optimized geometry

Computed properties:
* calculated volume: 317.2 Å³/cell
* D(E_F): 19.9 states/eV/f.u.
* total moment: 11.737 μB per formula unit
* uncorrected energy: -90.5 eV/cell

```
La3ErPu2Se6
1.0
7.2695 -0.0014 0.0005
-3.6342 6.2959 0.0005
-1.2123 -2.0990 6.9314
Se La Pu Er
6 3 2 1
Direct
0.0777 0.4061 0.2334
0.7508 0.7508 0.2367
0.2492 0.2492 0.7633
0.5939 0.9223 0.7666
0.9223 0.5939 0.7666
0.4061 0.0777 0.2334
0.5000 0.5000 0.5000
0.8311 0.1689 0.5000
0.1689 0.8311 0.5000
0.6663 0.3337 0.0000
0.3337 0.6663 0.0000
0.0000 0.0000 0.0000
```